No. 1
The following is a PBE calculation of a relaxed structure of Sc5In2Pd2Pt, from Alexandria via LeMat-Bulk.

a b c (Å): 11.2418 11.2418 3.3139
angles (deg): 90.00 90.00 90.00
Fractional positions:
Sc1 0.0000 0.5000 0.0000
Sc2 0.0661 0.1909 0.0000
Sc3 0.1909 0.9339 0.0000
Sc4 0.3091 0.4339 0.0000
Sc5 0.4339 0.6909 0.0000
Sc6 0.5000 0.0000 0.0000
Sc7 0.5661 0.3091 0.0000
Sc8 0.6909 0.5661 0.0000
Sc9 0.8091 0.0661 0.0000
Sc10 0.9339 0.8091 0.0000
In1 0.1733 0.6733 0.5000
In2 0.3267 0.1733 0.5000
In3 0.6733 0.8267 0.5000
In4 0.8267 0.3267 0.5000
Pd1 0.1332 0.3668 0.5000
Pd2 0.3668 0.8668 0.5000
Pd3 0.6332 0.1332 0.5000
Pd4 0.8668 0.6332 0.5000
Pt1 0.0000 0.0000 0.5000
Pt2 0.5000 0.5000 0.5000

Output
energy of formation = -70.8 kJ per mole of atoms

---

No. 2
The following is a PBE calculation of a relaxed structure of LiHg2Os, from Alexandria via LeMat-Bulk.

a b c (Å): 2.8727 2.8727 9.5613
angles (deg): 90.00 90.00 116.36
Fractional positions:
Li1 0.0000 0.0000 0.0000
Hg1 0.5000 0.5000 0.2387
Hg2 0.5000 0.5000 0.7613
Os1 0.0000 0.0000 0.5000

Output
offset from the most stable computed form = 0.1509 eV/atom
energy of formation = 43.8 kJ per mole of atoms

---

No. 3
The following is a PBE calculation of a relaxed structure of LaSnPt, from Alexandria via LeMat-Bulk.

a b c (Å): 4.8648 4.8648 4.8648
angles (deg): 60.00 60.00 60.00
Fractional positions:
La1 0.0000 0.0000 0.0000
Sn1 0.5000 0.5000 0.5000
Pt1 0.2500 0.2500 0.2500

Output
energy of formation = -92.2 kJ per mole of atoms

---

No. 4
The following is a PBE calculation of a relaxed structure of Fe2CoAg, from Alexandria via LeMat-Bulk.

a b c (Å): 3.7448 3.7448 3.7412
angles (deg): 90.00 90.00 90.00
Fractional positions:
Fe1 0.0000 0.5000 0.0000
Fe2 0.5000 0.0000 0.0000
Co1 0.0000 0.0000 0.5000
Ag1 0.5000 0.5000 0.5000

Output
offset from the most stable computed form = 0.1015 eV/atom
energy of formation = 29.6 kJ per mole of atoms

---

No. 5
The following is a PBE calculation of a relaxed structure of ScMn3, from Alexandria via LeMat-Bulk.

a b c (Å): 4.8491 4.8491 8.3885
angles (deg): 106.86 106.86 60.02
Fractional positions:
Sc1 0.0000 0.0000 0.0000
Sc2 0.1428 0.1428 0.4291
Sc3 0.8572 0.8572 0.5709
Mn1 0.0711 0.5880 0.2483
Mn2 0.3381 0.3381 0.0161
Mn3 0.4116 0.4116 0.7517
Mn4 0.4120 0.9289 0.7517
Mn5 0.5000 0.5000 0.5000
Mn6 0.5880 0.0711 0.2483
Mn7 0.5884 0.5884 0.2483
Mn8 0.6619 0.6619 0.9839
Mn9 0.9289 0.4120 0.7517

Output
energy of formation = -4.2 kJ per mole of atoms

---

No. 6
The following is a PBE calculation of a relaxed structure of ReAgAuN2, from Alexandria via LeMat-Bulk.

a b c (Å): 3.9845 3.9845 5.7481
angles (deg): 90.00 90.00 90.00
Fractional positions:
Re1 0.0000 0.0000 0.0000
Ag1 0.0000 0.0000 0.5000
Au1 0.5000 0.5000 0.0000
N1 0.0000 0.5000 0.5000
N2 0.5000 0.0000 0.5000

Output
energy relative to the elements, uncorrected = 2.63 eV/atom

---

No. 7
The following is a PBE calculation of a relaxed structure of PrGdOsRh, from Alexandria via LeMat-Bulk.

a b c (Å): 4.9564 4.9564 4.9564
angles (deg): 60.00 60.00 60.00
Fractional positions:
Pr1 0.0000 0.0000 0.0000
Gd1 0.5000 0.5000 0.5000
Os1 0.2500 0.2500 0.2500
Rh1 0.7500 0.7500 0.7500

Output
energy of formation = -24.3 kJ per mole of atoms

---

No. 8
The following is a PBE calculation of a relaxed structure of CsTl2Ge, from Alexandria via LeMat-Bulk.

a b c (Å): 7.2173 8.6294 12.0139
angles (deg): 90.00 118.23 90.00
Fractional positions:
Cs1 0.0515 0.0015 0.3298
Cs2 0.0515 0.4985 0.8298
Cs3 0.9485 0.5015 0.1702
Cs4 0.9485 0.9985 0.6702
Tl1 0.3891 0.1725 0.1429
Tl2 0.3891 0.3275 0.6429
Tl3 0.4941 0.1731 0.9114
Tl4 0.4941 0.3269 0.4114
Tl5 0.5059 0.6731 0.5886
Tl6 0.5059 0.8269 0.0886
Tl7 0.6109 0.6725 0.3571
Tl8 0.6109 0.8275 0.8571
Ge1 0.0693 0.6276 0.5104
Ge2 0.0693 0.8724 0.0104
Ge3 0.9307 0.1276 0.9896
Ge4 0.9307 0.3724 0.4896

Output
offset from the most stable computed form = 0.0000 eV/atom
energy of formation = -1.5 kJ per mole of atoms

---

No. 9
The following is a PBE calculation of a relaxed structure of HgGePd6, from Alexandria via LeMat-Bulk.

a b c (Å): 4.0505 4.0505 7.7762
angles (deg): 90.00 90.00 90.00
Fractional positions:
Hg1 0.0000 0.0000 0.0000
Ge1 0.0000 0.0000 0.5000
Pd1 0.0000 0.5000 0.2656
Pd2 0.0000 0.5000 0.7344
Pd3 0.5000 0.0000 0.2656
Pd4 0.5000 0.0000 0.7344
Pd5 0.5000 0.5000 0.0000
Pd6 0.5000 0.5000 0.5000

Output
energy of formation = -22.4 kJ per mole of atoms

---

No. 10
The following is a PBE calculation of a relaxed structure of ReRu2Au, from Alexandria via LeMat-Bulk.

a b c (Å): 2.7645 3.9478 5.5627
angles (deg): 90.00 90.00 90.00
Fractional positions:
Re1 0.0000 0.0000 0.0000
Ru1 0.0000 0.0000 0.4489
Ru2 0.5000 0.5000 0.2130
Au1 0.5000 0.5000 0.7170

Output
offset from the most stable computed form = 0.1566 eV/atom
energy of formation = 28.5 kJ per mole of atoms

---

No. 11
The following is a PBE calculation of a relaxed structure of Tm2B2Rh5Pb, from Alexandria via LeMat-Bulk.

a b c (Å): 9.5781 9.5781 3.2995
angles (deg): 90.00 90.00 90.00
Fractional positions:
Tm1 0.1747 0.3253 0.0000
Tm2 0.3253 0.8253 0.0000
Tm3 0.6747 0.1747 0.0000
Tm4 0.8253 0.6747 0.0000
B1 0.1201 0.6201 0.0000
B2 0.3799 0.1201 0.0000
B3 0.6201 0.8799 0.0000
B4 0.8799 0.3799 0.0000
Rh1 0.0000 0.5000 0.5000
Rh2 0.0715 0.7730 0.5000
Rh3 0.2270 0.0715 0.5000
Rh4 0.2730 0.5715 0.5000
Rh5 0.4285 0.2730 0.5000
Rh6 0.5000 0.0000 0.5000
Rh7 0.5715 0.7270 0.5000
Rh8 0.7270 0.4285 0.5000
Rh9 0.7730 0.9285 0.5000
Rh10 0.9285 0.2270 0.5000
Pb1 0.0000 0.0000 0.0000
Pb2 0.5000 0.5000 0.0000

Output
energy of formation = -72.0 kJ per mole of atoms

---

No. 12
The following is a PBE calculation of a relaxed structure of Pr7Ho2Tm3, from Alexandria via LeMat-Bulk.

a b c (Å): 5.8256 3.6415 19.4854
angles (deg): 90.00 98.43 90.00
Fractional positions:
Pr1 0.0000 0.0000 0.0000
Pr2 0.0959 0.5000 0.1899
Pr3 0.2672 0.5000 0.5347
Pr4 0.4257 0.0000 0.8545
Pr5 0.5743 0.0000 0.1455
Pr6 0.7328 0.5000 0.4653
Pr7 0.9041 0.5000 0.8101
Ho1 0.3500 0.5000 0.7006
Ho2 0.6500 0.5000 0.2994
Tm1 0.1845 0.0000 0.3695
Tm2 0.5000 0.5000 0.0000
Tm3 0.8155 0.0000 0.6305

Output
offset from the most stable computed form = 0.0000 eV/atom
energy of formation = 10.0 kJ per mole of atoms

---

No. 13
The following is a PBE calculation of a relaxed structure of TbZrSe2, from Alexandria via LeMat-Bulk.

a b c (Å): 9.2553 9.2553 9.2553
angles (deg): 23.39 23.39 23.39
Fractional positions:
Tb1 0.0000 0.0000 0.0000
Zr1 0.5000 0.5000 0.5000
Se1 0.1051 0.1051 0.1051
Se2 0.8949 0.8949 0.8949

Output
offset from the most stable computed form = 0.3403 eV/atom
energy relative to the elements, uncorrected = -1.06 eV/atom

---

No. 14
The following is a PBE calculation of a relaxed structure of La4Pm4Dy3, from Alexandria via LeMat-Bulk.

a b c (Å): 10.8564 6.7432 6.7432
angles (deg): 51.01 90.00 90.00
Fractional positions:
La1 0.0000 0.0000 0.0000
La2 0.1999 0.8030 0.8030
La3 0.5000 0.9301 0.9301
La4 0.8001 0.8030 0.8030
Pm1 0.0000 0.5886 0.5886
Pm2 0.3033 0.1497 0.1497
Pm3 0.5000 0.6545 0.6545
Pm4 0.6967 0.1497 0.1497
Dy1 0.0000 0.2957 0.2957
Dy2 0.2896 0.4544 0.4544
Dy3 0.7104 0.4544 0.4544

Output
offset from the most stable computed form = 0.0194 eV/atom
energy of formation = 13.1 kJ per mole of atoms

---

No. 15
The following is a PBE calculation of a relaxed structure of Ba2TcTe4, from Alexandria via LeMat-Bulk.

a b c (Å): 9.5328 9.5328 9.5328
angles (deg): 147.04 147.04 47.31
Fractional positions:
Ba1 0.1401 0.1401 0.0000
Ba2 0.8599 0.8599 0.0000
Tc1 0.5000 0.5000 0.0000
Te1 0.0000 0.5000 0.5000
Te2 0.3383 0.3383 0.0000
Te3 0.5000 0.0000 0.5000
Te4 0.6617 0.6617 0.0000

Output
energy relative to the elements, uncorrected = -0.80 eV/atom

---

No. 16
The following is a PBE calculation of a relaxed structure of Na2InCu2, from Alexandria via LeMat-Bulk.

a b c (Å): 7.1220 7.1220 7.1220
angles (deg): 146.77 146.77 47.71
Fractional positions:
Na1 0.2500 0.7500 0.5000
Na2 0.7500 0.2500 0.5000
In1 0.0000 0.0000 0.0000
Cu1 0.4113 0.4113 0.0000
Cu2 0.5887 0.5887 0.0000

Output
offset from the most stable computed form = 0.2032 eV/atom
energy of formation = 31.7 kJ per mole of atoms

---

No. 17
The following is a PBE calculation of a relaxed structure of Ce6InGa2, from Alexandria via LeMat-Bulk.

a b c (Å): 9.1755 9.1755 9.1755
angles (deg): 160.62 121.61 62.13
Fractional positions:
Ce1 0.1484 0.8364 0.3120
Ce2 0.1630 0.0000 0.1630
Ce3 0.4756 0.1636 0.3120
Ce4 0.5244 0.8364 0.6880
Ce5 0.8370 0.0000 0.8370
Ce6 0.8516 0.1636 0.6880
In1 0.5000 0.5000 0.0000
Ga1 0.1585 0.6585 0.5000
Ga2 0.8415 0.3415 0.5000

Output
offset from the most stable computed form = 0.0616 eV/atom
energy of formation = -19.3 kJ per mole of atoms

---

No. 18
The following is a PBE calculation of a relaxed structure of Sr3PuIn12, from Alexandria via LeMat-Bulk.

a b c (Å): 4.8317 4.8317 19.0136
angles (deg): 90.00 90.00 90.00
Fractional positions:
Sr1 0.0000 0.0000 0.0000
Sr2 0.0000 0.0000 0.2554
Sr3 0.0000 0.0000 0.7446
Pu1 0.0000 0.0000 0.5000
In1 0.0000 0.5000 0.1273
In2 0.0000 0.5000 0.3828
In3 0.0000 0.5000 0.6172
In4 0.0000 0.5000 0.8727
In5 0.5000 0.0000 0.1273
In6 0.5000 0.0000 0.3828
In7 0.5000 0.0000 0.6172
In8 0.5000 0.0000 0.8727
In9 0.5000 0.5000 0.0000
In10 0.5000 0.5000 0.2509
In11 0.5000 0.5000 0.5000
In12 0.5000 0.5000 0.7491

Output
energy of formation = -26.4 kJ per mole of atoms

---

No. 19
The following is a PBE calculation of a relaxed structure of PmHo4Si4, from Alexandria via LeMat-Bulk.

a b c (Å): 9.1364 9.1364 5.7090
angles (deg): 90.00 90.00 90.00
Fractional positions:
Pm1 0.2500 0.2500 0.2500
Pm2 0.7500 0.7500 0.7500
Ho1 0.0932 0.6465 0.1281
Ho2 0.1465 0.9068 0.6281
Ho3 0.3535 0.5932 0.6281
Ho4 0.4068 0.8535 0.1281
Ho5 0.5932 0.1465 0.8719
Ho6 0.6465 0.4068 0.3719
Ho7 0.8535 0.0932 0.3719
Ho8 0.9068 0.3535 0.8719
Si1 0.0369 0.6008 0.6309
Si2 0.1008 0.9631 0.1309
Si3 0.3992 0.5369 0.1309
Si4 0.4631 0.8992 0.6309
Si5 0.5369 0.1008 0.3691
Si6 0.6008 0.4631 0.8691
Si7 0.8992 0.0369 0.8691
Si8 0.9631 0.3992 0.3691

Output
energy relative to the elements, uncorrected = -0.48 eV/atom

---

No. 20
The following is a PBE calculation of a relaxed structure of Sm3HoHg6, from Alexandria via LeMat-Bulk.

a b c (Å): 9.3225 5.1890 11.2087
angles (deg): 90.00 106.27 90.00
Fractional positions:
Sm1 0.0126 0.2500 0.3864
Sm2 0.1470 0.7500 0.2084
Sm3 0.2727 0.2500 0.9918
Sm4 0.7273 0.7500 0.0082
Sm5 0.8530 0.2500 0.7916
Sm6 0.9874 0.7500 0.6136
Ho1 0.4402 0.2500 0.6064
Ho2 0.5598 0.7500 0.3936
Hg1 0.0362 0.7500 0.9127
Hg2 0.1613 0.2500 0.7003
Hg3 0.2657 0.7500 0.4976
Hg4 0.3466 0.2500 0.3131
Hg5 0.3583 0.7500 0.8078
Hg6 0.4390 0.7500 0.1104
Hg7 0.5610 0.2500 0.8896
Hg8 0.6417 0.2500 0.1922
Hg9 0.6534 0.7500 0.6869
Hg10 0.7343 0.2500 0.5024
Hg11 0.8387 0.7500 0.2997
Hg12 0.9638 0.2500 0.0873

Output
energy of formation = -41.5 kJ per mole of atoms